Density functional theory data (PBEsol) for a geometry-optimized MgBe2Re structure.

Structure (extended XYZ):
```
4
Lattice="-1.295 1.954 1.340 -3.442 -0.805 -2.152 1.176 -3.396 3.370" Properties=species:S:1:pos:R:3 pbc="T T T"
Be -1.190 -0.307 2.019
Be -0.043 -0.101 0.106
Mg -1.162 -2.749 2.887
Re -2.359 -1.912 0.509
```

Results
Formation enthalpy at 0 K ... 205 meV/atom